No. 1
# TbY2NpO8

A geometry-optimized TbY2NpO8 structure (GGA-PBE, Alexandria via LeMat-Bulk).

Geometry as POSCAR:
```
TbY2NpO8
1.0
-2.698 0.045 -2.780
3.102 -3.570 -2.599
-3.579 -5.574 3.384
O Tb Np Y
8 1 1 2
direct
0.499 0.748 0.500
0.461 0.225 0.000
0.975 0.237 0.777
0.501 0.252 0.500
0.539 0.775 0.000
0.025 0.763 0.777
0.975 0.237 0.223
0.025 0.763 0.223
0.000 0.000 0.500
0.000 0.000 0.000
0.500 0.500 0.741
0.500 0.500 0.259
```

Summary:
E_form (uncorrected) ... -307 kJ per mole of atoms



No. 2
# CsBeTe2Ir

A geometry-optimized CsBeTe2Ir structure (GGA-PBE, Alexandria via LeMat-Bulk).

Geometry as POSCAR:
```
CsBeTe2Ir
1.0
6.840 0.000 0.000
0.000 5.309 0.000
0.000 0.000 6.840
Te Cs Ir Be
2 1 1 1
direct
0.000 0.000 0.500
0.500 0.000 0.000
0.000 0.000 0.000
0.000 0.500 0.000
0.500 0.500 0.500
```

Summary:
E_form (uncorrected) ... 224 kJ per mole of atoms



No. 3
# La5Tb4Ho4

A geometry-optimized La5Tb4Ho4 structure (GGA-PBE, Alexandria via LeMat-Bulk).

Geometry as POSCAR:
```
La5Tb4Ho4
1.0
4.953 0.000 1.259
2.476 9.258 0.630
0.195 0.000 9.603
Tb Ho La
4 4 5
direct
0.386 0.689 0.538
0.076 0.538 0.311
0.614 0.311 0.462
0.924 0.462 0.689
0.766 0.390 0.079
0.845 0.921 0.390
0.155 0.079 0.610
0.234 0.610 0.921
0.461 0.233 0.845
0.000 0.000 0.000
0.694 0.845 0.767
0.306 0.155 0.233
0.539 0.767 0.155
```

Summary:
Energy of formation ... 0.030 eV/atom



No. 4
# K2PmIO6

A geometry-optimized K2PmIO6 structure (GGA-PBE, Alexandria via LeMat-Bulk).

Geometry as POSCAR:
```
K2PmIO6
1.0
-2.040 -1.595 5.385
-4.479 -2.995 -2.583
4.793 -6.956 -0.245
O K I Pm
12 4 2 2
direct
0.500 0.250 0.274
0.500 0.250 0.726
0.000 0.750 0.226
0.774 0.525 0.000
0.274 0.475 0.500
0.274 0.024 0.500
0.226 0.976 0.000
0.774 0.976 0.000
0.000 0.750 0.774
0.226 0.525 0.000
0.726 0.024 0.500
0.726 0.475 0.500
0.500 0.750 0.250
0.000 0.250 0.250
0.500 0.750 0.750
0.000 0.250 0.750
0.500 0.250 0.500
0.000 0.750 0.000
0.500 0.250 0.000
0.000 0.750 0.500
```

Summary:
E_form (uncorrected) ... -161 kJ per mole of atoms



No. 5
# PrDyHgTe

A geometry-optimized PrDyHgTe structure (GGA-PBE, Alexandria via LeMat-Bulk).

Geometry as POSCAR:
```
PrDyHgTe
1.0
-3.442 2.502 0.226
-2.188 0.290 3.646
2.617 6.912 3.511
Pr Dy Te Hg
1 1 1 1
direct
0.750 0.750 0.749
0.250 0.250 0.251
0.504 0.504 0.488
0.996 0.996 0.012
```

Summary:
E_form (uncorrected) ... -86 kJ per mole of atoms



No. 6
# Er2PaNiN4

A geometry-optimized Er2PaNiN4 structure (GGA-PBE, Alexandria via LeMat-Bulk).

Geometry as POSCAR:
```
Er2PaNiN4
1.0
-0.172 2.431 2.283
-4.670 -3.317 0.739
5.791 -6.512 7.371
Er N Pa Ni
4 8 2 2
direct
0.630 0.259 0.055
0.630 0.259 0.445
0.370 0.741 0.555
0.370 0.741 0.945
0.540 0.081 0.250
0.282 0.563 0.131
0.718 0.437 0.631
0.460 0.919 0.750
0.000 0.000 0.000
0.000 0.000 0.500
0.718 0.437 0.869
0.282 0.563 0.369
0.113 0.225 0.750
0.887 0.775 0.250
0.850 0.699 0.750
0.150 0.301 0.250
```

Summary:
E_form (uncorrected) ... -125 kJ per mole of atoms



No. 7
# YCrAs2

A geometry-optimized YCrAs2 structure (GGA-PBE, Alexandria via LeMat-Bulk).

Geometry as POSCAR:
```
YCrAs2
1.0
4.992 -0.013 0.049
0.125 4.990 -0.049
-1.767 -3.302 3.301
As Y Cr
2 1 1
direct
0.965 0.965 0.000
0.535 0.535 0.000
0.250 0.750 0.500
0.750 0.250 0.500
```

Summary:
Energy of formation ... -0.542 eV/atom



No. 8
# V2NiTe4

A geometry-optimized V2NiTe4 structure (GGA-PBE, Alexandria via LeMat-Bulk).

Geometry as POSCAR:
```
V2NiTe4
1.0
-0.430 -2.614 2.465
6.520 -0.935 0.147
-2.717 6.031 3.264
Te V Ni
4 2 1
direct
0.641 0.305 0.282
0.101 0.764 0.201
0.359 0.695 0.718
0.899 0.236 0.799
0.257 0.195 0.514
0.743 0.805 0.486
0.000 0.000 0.000
```

Summary:
E_form (uncorrected) ... -24 kJ per mole of atoms



Number 1: density 7.5 g/cm³, raw total energy -9.0291 eV per atom. Number 2: density 3.9 g/cm³, raw total energy -1.6268 eV per atom. Number 3: density 7.5 g/cm³, raw total energy -4.6983 eV per atom. Number 4: density 4.9 g/cm³, raw total energy -5.4938 eV per atom. Number 5: density 8.5 g/cm³, raw total energy -4.0926 eV per atom. Number 6: density 10.7 g/cm³, raw total energy -8.5059 eV per atom. Number 7: density 5.9 g/cm³, raw total energy -6.8889 eV per atom. Number 8: density 7.5 g/cm³, raw total energy -5.4787 eV per atom.